# 1
The following is a PBE calculation of a geometry-optimized Pm2PrIn2 structure, from the Alexandria database.

Output
- Spin magnetization: 0.0 μB per formula unit
- Total DFT energy (no corrections): -4.100 eV per atom
- ΔE to the lowest computed polymorph: 239 meV/atom
- Formation enthalpy at 0 K: -0.7 eV/f.u.

abc: 15.5962 15.5962 15.5962
angles: 162.92 162.92 24.24
Positions (direct):
Pm1 0.0738 0.0738 0.0000
Pm2 0.2500 0.7500 0.5000
Pm3 0.7500 0.2500 0.5000
Pm4 0.9262 0.9262 0.0000
Pr1 0.3643 0.3643 0.0000
Pr2 0.6357 0.6357 0.0000
In1 0.0000 0.5000 0.5000
In2 0.1742 0.1742 0.0000
In3 0.5000 0.0000 0.5000
In4 0.8258 0.8258 0.0000

# 2
The following is a PBE calculation of a geometry-optimized YSc3S structure, from the Alexandria database.

Output
- Spin magnetization: 0.0 μB per formula unit
- Formation energy without anion corrections: 1.05 eV per atom
- Total DFT energy (no corrections): -4.868 eV per atom
- ΔE to the lowest computed polymorph: 1666 meV/atom

abc: 5.2343 5.2343 5.2343
angles: 90.00 90.00 90.00
Positions (direct):
Y1 0.0000 0.0000 0.0000
Sc1 0.0000 0.0000 0.5000
Sc2 0.0000 0.5000 0.0000
Sc3 0.5000 0.0000 0.0000
S1 0.5000 0.5000 0.5000

# 3
The following is a PBE calculation of a geometry-optimized PrYMgMn structure, from the Alexandria database.

Output
- Spin magnetization: 3.3 μB per formula unit
- Total DFT energy (no corrections): -5.394 eV per atom
- Formation enthalpy at 0 K: 0.4 eV/f.u.

abc: 5.2963 5.2963 5.2963
angles: 60.00 60.00 60.00
Positions (direct):
Pr1 0.0000 0.0000 0.0000
Y1 0.5000 0.5000 0.5000
Mg1 0.7500 0.7500 0.7500
Mn1 0.2500 0.2500 0.2500

# 4
The following is a PBE calculation of a geometry-optimized Mg2UTlO8 structure, from the Alexandria database.

Output
- Spin magnetization: 0.9 μB per formula unit
- Formation energy without anion corrections: -1.68 eV per atom
- Total DFT energy (no corrections): -6.387 eV per atom

abc: 5.9864 5.9864 5.9864
angles: 113.37 113.37 101.92
Positions (direct):
Mg1 0.0000 0.0000 0.0000
Mg2 0.7500 0.2500 0.5000
U1 0.2500 0.7500 0.5000
Tl1 0.5000 0.5000 0.0000
O1 0.0034 0.8030 0.2003
O2 0.1375 0.4648 0.6727
O3 0.1970 0.3973 0.2003
O4 0.1970 0.9966 0.7997
O5 0.5352 0.2079 0.6727
O6 0.5352 0.8625 0.3273
O7 0.6027 0.8030 0.7997
O8 0.7921 0.4648 0.3273

# 5
The following is a PBE calculation of a geometry-optimized Dy7Y2Th structure, from the Alexandria database.

Output
- Spin magnetization: 0.0 μB per formula unit
- Total DFT energy (no corrections): -4.535 eV per atom
- ΔE to the lowest computed polymorph: 380 meV/atom
- Formation enthalpy at 0 K: 7.2 eV/f.u.

abc: 9.9322 9.9322 5.0317
angles: 90.00 90.00 129.25
Positions (direct):
Dy1 0.0000 0.0000 0.0000
Dy2 0.2156 0.4213 0.0000
Dy3 0.3099 0.6901 0.5000
Dy4 0.4213 0.2156 0.0000
Dy5 0.5787 0.7844 0.0000
Dy6 0.6901 0.3099 0.5000
Dy7 0.7844 0.5787 0.0000
Y1 0.2036 0.7964 0.0000
Y2 0.7964 0.2036 0.0000
Th1 0.5000 0.5000 0.5000

# 6
The following is a PBE calculation of a geometry-optimized Pm12DySc2 structure, from the Alexandria database.

Output
- Spin magnetization: 0.0 μB per formula unit
- Total DFT energy (no corrections): -4.871 eV per atom
- Formation enthalpy at 0 K: 1.2 eV/f.u.

abc: 6.2453 6.2453 27.2725
angles: 92.22 92.22 111.41
Positions (direct):
Pm1 0.0566 0.0566 0.3652
Pm2 0.1830 0.5632 0.4410
Pm3 0.1887 0.5697 0.6690
Pm4 0.1898 0.6965 0.7973
Pm5 0.2104 0.2104 0.5345
Pm6 0.2109 0.2109 0.8686
Pm7 0.2315 0.7331 0.9343
Pm8 0.2669 0.7685 0.0657
Pm9 0.2881 0.2881 0.1345
Pm10 0.3035 0.8102 0.2027
Pm11 0.4303 0.8113 0.3310
Pm12 0.4368 0.8170 0.5590
Pm13 0.5632 0.1830 0.4410
Pm14 0.5697 0.1887 0.6690
Pm15 0.6965 0.1898 0.7973
Pm16 0.7119 0.7119 0.8655
Pm17 0.7331 0.2315 0.9343
Pm18 0.7685 0.2669 0.0657
Pm19 0.7891 0.7891 0.1314
Pm20 0.7896 0.7896 0.4655
Pm21 0.8102 0.3035 0.2027
Pm22 0.8113 0.4303 0.3310
Pm23 0.8170 0.4368 0.5590
Pm24 0.9434 0.9434 0.6348
Dy1 0.2509 0.2509 0.0009
Dy2 0.7491 0.7491 0.9991
Sc1 0.1737 0.1737 0.7453
Sc2 0.3198 0.3198 0.2613
Sc3 0.6802 0.6802 0.7387
Sc4 0.8263 0.8263 0.2547

# 7
The following is a PBE calculation of a geometry-optimized Ce7Hg2Os2 structure, from the Alexandria database.

Output
- Spin magnetization: 4.4 μB per formula unit
- Total DFT energy (no corrections): -5.969 eV per atom
- Formation enthalpy at 0 K: -1.1 eV/f.u.

abc: 6.9447 6.9447 6.7800
angles: 90.00 90.00 108.76
Positions (direct):
Ce1 0.0000 0.0000 0.0000
Ce2 0.0000 0.5000 0.2711
Ce3 0.0000 0.5000 0.7289
Ce4 0.5000 0.0000 0.2711
Ce5 0.5000 0.0000 0.7289
Ce6 0.5000 0.5000 0.2114
Ce7 0.5000 0.5000 0.7886
Hg1 0.1784 0.1784 0.5000
Hg2 0.8216 0.8216 0.5000
Os1 0.2693 0.7307 0.0000
Os2 0.7307 0.2693 0.0000

# 8
The following is a PBE calculation of a geometry-optimized NaPO2F structure, from the Alexandria database.

Output
- Spin magnetization: 1.2 μB per formula unit
- Formation energy without anion corrections: 0.27 eV per atom
- Total DFT energy (no corrections): -3.431 eV per atom

abc: 4.5970 4.5970 3.5188
angles: 90.00 90.00 90.00
Positions (direct):
Na1 0.0000 0.0000 0.0000
P1 0.5000 0.5000 0.0000
O1 0.0000 0.5000 0.5000
O2 0.5000 0.0000 0.5000
F1 0.5000 0.5000 0.5000

# 9
The following is a PBE calculation of a geometry-optimized PaGa2Se8 structure, from the Alexandria database.

Output
- Spin magnetization: 0.0 μB per formula unit
- Formation energy without anion corrections: -0.24 eV per atom
- Total DFT energy (no corrections): -4.191 eV per atom

abc: 8.5353 8.5353 8.5353
angles: 134.04 134.04 67.02
Positions (direct):
Pa1 0.0000 0.0000 0.0000
Ga1 0.2500 0.7500 0.5000
Ga2 0.7500 0.2500 0.5000
Se1 0.0309 0.5547 0.8039
Se2 0.2270 0.0309 0.4762
Se3 0.2492 0.4453 0.4762
Se4 0.4453 0.9691 0.1961
Se5 0.5547 0.7508 0.5238
Se6 0.7508 0.2270 0.1961
Se7 0.7730 0.2492 0.8039
Se8 0.9691 0.7730 0.5238

# 10
The following is a PBE calculation of a geometry-optimized Cd2PdBr8 structure, from the Alexandria database.

Output
- Spin magnetization: 0.0 μB per formula unit
- Formation energy without anion corrections: -0.51 eV per atom
- Total DFT energy (no corrections): -2.366 eV per atom

abc: 8.2318 8.2318 6.8399
angles: 93.63 93.63 55.24
Positions (direct):
Cd1 0.1579 0.1579 0.4679
Cd2 0.8421 0.8421 0.5321
Pd1 0.0000 0.0000 0.0000
Br1 0.1547 0.1547 0.8572
Br2 0.1730 0.7053 0.7607
Br3 0.2947 0.8270 0.2393
Br4 0.3321 0.3321 0.4260
Br5 0.6679 0.6679 0.5740
Br6 0.7053 0.1730 0.7607
Br7 0.8270 0.2947 0.2393
Br8 0.8453 0.8453 0.1428

# 11
The following is a PBE calculation of a geometry-optimized Pr6SmY4 structure, from the Alexandria database.

Output
- Spin magnetization: 0.0 μB per formula unit
- Total DFT energy (no corrections): -5.082 eV per atom
- ΔE to the lowest computed polymorph: 31 meV/atom
- Formation enthalpy at 0 K: 3.4 eV/f.u.

abc: 9.5797 9.5797 9.5797
angles: 137.68 137.68 61.39
Positions (direct):
Pr1 0.0000 0.5000 0.5000
Pr2 0.0141 0.6309 0.0000
Pr3 0.3691 0.3691 0.3831
Pr4 0.5000 0.0000 0.5000
Pr5 0.6309 0.0141 0.0000
Pr6 0.9859 0.9859 0.6169
Sm1 0.0000 0.0000 0.0000
Y1 0.2135 0.2135 0.6529
Y2 0.4394 0.7865 0.0000
Y3 0.5606 0.5606 0.3471
Y4 0.7865 0.4394 0.0000

# 12
The following is a PBE calculation of a geometry-optimized Er5AgBi4 structure, from the Alexandria database.

Output
- Spin magnetization: 0.0 μB per formula unit
- Total DFT energy (no corrections): -4.718 eV per atom
- Formation enthalpy at 0 K: -6.0 eV/f.u.

abc: 7.6353 7.6353 7.6353
angles: 99.59 99.59 131.83
Positions (direct):
Er1 0.0000 0.0000 0.0000
Er2 0.2005 0.6030 0.8035
Er3 0.3970 0.2005 0.5975
Er4 0.6030 0.7995 0.4025
Er5 0.7995 0.3970 0.1965
Ag1 0.5000 0.5000 0.0000
Bi1 0.0982 0.3001 0.3983
Bi2 0.3001 0.9018 0.2020
Bi3 0.6999 0.0982 0.7980
Bi4 0.9018 0.6999 0.6017